The following is a DFT calculation (PBE) of RbTe2MoI after structural relaxation.

Lattice parameters (Å, degrees): 6.5713 6.5713 6.4944 90.00 90.00 90.00
Closest atoms and distances in Å follow each position.
Fractional positions:
Rb (0.0000, 0.0000, 0.0000)  2 I 3.25, 4 Te 3.29
Te (0.0000, 0.5000, 0.0000)  2 Rb 3.29
Te (0.5000, 0.0000, 0.0000)  2 Rb 3.29
Mo (0.5000, 0.5000, 0.5000)  8 Te 4.62, 4 I 4.65
I (0.0000, 0.0000, 0.5000)  2 Rb 3.25

Calculated values
SG: P4/mmm (123)
Relative energy among the computed polymorphs (kJ/mol of formula units): 764
Total energy (eV/cell): -12.702
E_form (uncorrected) (meV/atom): 1386

---

The following is a DFT calculation (PBE) of Pm4DyHo3 after structural relaxation.

Lattice parameters (Å, degrees): 11.5017 7.3066 6.3007 90.00 90.00 90.00
Closest atoms and distances in Å follow each position.
Fractional positions:
Pm (0.0000, 0.1274, 0.0000)  6 Pm 3.56-3.67, 4 Ho 3.56-3.65, 2 Dy 3.62-3.69
Pm (0.0000, 0.8722, 0.5019)  6 Pm 3.57-3.67, 4 Ho 3.57-3.70, 2 Dy 3.64
Pm (0.2493, 0.1273, 0.3354)  6 Pm 3.56-3.66, 5 Ho 3.56-3.69, 1 Dy 3.57
Pm (0.2507, 0.8727, 0.8354)  6 Pm 3.56-3.66, 5 Ho 3.56-3.69, 1 Dy 3.57
Pm (0.5000, 0.1278, 0.0019)  6 Pm 3.57-3.67, 4 Ho 3.57-3.70, 2 Dy 3.64
Pm (0.5000, 0.8726, 0.5000)  6 Pm 3.56-3.67, 4 Ho 3.56-3.65, 2 Dy 3.62-3.69
Pm (0.7493, 0.8727, 0.8354)  6 Pm 3.56-3.66, 5 Ho 3.56-3.69, 1 Dy 3.57
Pm (0.7507, 0.1273, 0.3354)  6 Pm 3.56-3.66, 5 Ho 3.56-3.69, 1 Dy 3.57
Dy (0.0000, 0.6223, 0.0022)  6 Ho 3.54-3.62, 6 Pm 3.57-3.69
Dy (0.5000, 0.3777, 0.5022)  6 Ho 3.54-3.62, 6 Pm 3.57-3.69
Ho (0.0000, 0.3784, 0.5017)  4 Ho 3.54-3.56, 6 Pm 3.56-3.70, 2 Dy 3.62
Ho (0.2499, 0.3782, 0.8346)  4 Ho 3.54-3.62, 2 Dy 3.54-3.56, 6 Pm 3.56-3.69
Ho (0.2501, 0.6218, 0.3346)  4 Ho 3.54-3.62, 2 Dy 3.54-3.56, 6 Pm 3.56-3.69
Ho (0.5000, 0.6216, 0.0017)  4 Ho 3.54-3.56, 6 Pm 3.56-3.70, 2 Dy 3.62
Ho (0.7501, 0.3782, 0.8346)  4 Ho 3.54-3.62, 2 Dy 3.54-3.56, 6 Pm 3.56-3.69
Ho (0.7499, 0.6218, 0.3346)  4 Ho 3.54-3.62, 2 Dy 3.54-3.56, 6 Pm 3.56-3.69

Calculated values
SG: Pmn2_1 (31)
Relative energy among the computed polymorphs (kJ/mol of formula units): 0
Total energy (eV/cell): -74.283

---

The following is a DFT calculation (PBE) of Sr3SnBi3 after structural relaxation.

Lattice parameters (Å, degrees): 9.9607 9.9607 6.7176 90.00 90.00 120.00
Closest atoms and distances in Å follow each position.
Fractional positions:
Sr (0.0775, 0.4006, 0.2500)  5 Bi 3.37-3.53
Sr (0.3231, 0.9225, 0.2500)  5 Bi 3.37-3.53
Sr (0.4006, 0.3231, 0.7500)  5 Bi 3.37-3.53
Sr (0.5994, 0.6769, 0.2500)  5 Bi 3.37-3.53
Sr (0.6769, 0.0775, 0.7500)  5 Bi 3.37-3.53
Sr (0.9225, 0.5994, 0.7500)  5 Bi 3.37-3.53
Sn (0.3333, 0.6667, 0.7500)  3 Bi 2.93
Sn (0.6667, 0.3333, 0.2500)  3 Bi 2.93
Bi (0.0742, 0.3462, 0.7500)  1 Sn 2.93
Bi (0.2719, 0.9258, 0.7500)  1 Sn 2.93
Bi (0.3462, 0.2719, 0.2500)  1 Sn 2.93
Bi (0.6538, 0.7281, 0.7500)  1 Sn 2.93
Bi (0.7281, 0.0742, 0.2500)  1 Sn 2.93
Bi (0.9258, 0.6538, 0.2500)  1 Sn 2.93

Calculated values
SG: P6_3/m (176)
Relative energy among the computed polymorphs (kJ/mol of formula units): 88
Total energy (eV/cell): -49.167

---

The following is a DFT calculation (PBE) of CoNi5Pd4 after structural relaxation.

Lattice parameters (Å, degrees): 7.5770 8.0891 4.4183 90.00 90.00 90.00
Closest atoms and distances in Å follow each position.
Fractional positions:
Co (0.2500, 0.2500, 0.0669)  4 Ni 2.40, 2 Pd 2.50
Co (0.7500, 0.7500, 0.9331)  4 Ni 2.40, 2 Pd 2.50
Ni (0.0865, 0.0116, 0.2245)  3 Ni 2.39-2.48, 1 Co 2.40, 5 Pd 2.53-2.62
Ni (0.0865, 0.4884, 0.2245)  3 Ni 2.39-2.48, 1 Co 2.40, 5 Pd 2.53-2.62
Ni (0.2500, 0.7500, 0.2181)  4 Ni 2.45, 6 Pd 2.56-2.66
Ni (0.4135, 0.0116, 0.2245)  3 Ni 2.39-2.48, 1 Co 2.40, 5 Pd 2.53-2.62
Ni (0.4135, 0.4884, 0.2245)  3 Ni 2.39-2.48, 1 Co 2.40, 5 Pd 2.53-2.62
Ni (0.5865, 0.5116, 0.7755)  3 Ni 2.39-2.48, 1 Co 2.40, 5 Pd 2.53-2.62
Ni (0.5865, 0.9884, 0.7755)  3 Ni 2.39-2.48, 1 Co 2.40, 5 Pd 2.53-2.62
Ni (0.7500, 0.2500, 0.7819)  4 Ni 2.45, 6 Pd 2.56-2.66
Ni (0.9135, 0.5116, 0.7755)  3 Ni 2.39-2.48, 1 Co 2.40, 5 Pd 2.53-2.62
Ni (0.9135, 0.9884, 0.7755)  3 Ni 2.39-2.48, 1 Co 2.40, 5 Pd 2.53-2.62
Pd (0.0690, 0.2500, 0.5938)  2 Co 2.50-2.70, 5 Ni 2.53-2.56, 1 Pd 2.74
Pd (0.2500, 0.5719, 0.7254)  8 Ni 2.61-2.66, 1 Pd 2.88
Pd (0.2500, 0.9281, 0.7254)  8 Ni 2.61-2.66, 1 Pd 2.88
Pd (0.4310, 0.2500, 0.5938)  2 Co 2.50-2.70, 5 Ni 2.53-2.56, 1 Pd 2.74
Pd (0.5690, 0.7500, 0.4062)  2 Co 2.50-2.70, 5 Ni 2.53-2.56, 1 Pd 2.74
Pd (0.7500, 0.0719, 0.2746)  8 Ni 2.61-2.66, 1 Pd 2.88
Pd (0.7500, 0.4281, 0.2746)  8 Ni 2.61-2.66, 1 Pd 2.88
Pd (0.9310, 0.7500, 0.4062)  2 Co 2.50-2.70, 5 Ni 2.53-2.56, 1 Pd 2.74

Calculated values
SG: Pmmn (59)
Relative energy among the computed polymorphs (kJ/mol of formula units): 24
Total energy (eV/cell): -110.003

---

The following is a DFT calculation (PBE) of SrCuO2 after structural relaxation.

Lattice parameters (Å, degrees): 3.9478 3.9478 3.4850 90.00 90.00 90.00
Closest atoms and distances in Å follow each position.
Fractional positions:
Sr (0.0000, 0.0000, 0.0000)  8 O 2.63
Cu (0.5000, 0.5000, 0.5000)  4 O 1.97
O (0.0000, 0.5000, 0.5000)  2 Cu 1.97
O (0.5000, 0.0000, 0.5000)  2 Cu 1.97

Calculated values
SG: P4/mmm (123)
Total energy (eV/cell): -22.566
E_form (uncorrected) (meV/atom): -1718

---

The following is a DFT calculation (PBE) of BaY2P after structural relaxation.

Lattice parameters (Å, degrees): 4.6246 4.6246 10.6082 90.00 90.00 90.00
Closest atoms and distances in Å follow each position.
Fractional positions:
Ba (0.0000, 0.0000, 0.0000)  8 Y 3.27-3.52, 4 P 3.52
Ba (0.5000, 0.5000, 0.5000)  8 Y 3.27-3.52, 4 P 3.52
Y (0.0000, 0.0000, 0.5000)  4 Ba 3.27, 4 Y 3.52, 4 P 3.52
Y (0.0000, 0.5000, 0.2500)  4 P 3.27, 4 Ba 3.52, 4 Y 3.52
Y (0.5000, 0.0000, 0.7500)  4 P 3.27, 4 Ba 3.52, 4 Y 3.52
Y (0.5000, 0.5000, 0.0000)  4 Ba 3.27, 4 Y 3.52, 4 P 3.52
P (0.0000, 0.5000, 0.7500)  8 Y 3.27-3.52, 4 Ba 3.52
P (0.5000, 0.0000, 0.2500)  8 Y 3.27-3.52, 4 Ba 3.52

Calculated values
SG: I-4m2 (119)
Total energy (eV/cell): -40.895

---

The following is a DFT calculation (PBE) of CeLuMg2 after structural relaxation.

Lattice parameters (Å, degrees): 4.7568 4.7568 4.7918 90.00 90.00 90.00
Closest atoms and distances in Å follow each position.
Fractional positions:
Ce (0.0000, 0.0000, 0.0000)  4 Lu 3.36, 8 Mg 3.38
Lu (0.5000, 0.5000, 0.0000)  4 Ce 3.36, 8 Mg 3.38
Mg (0.0000, 0.5000, 0.5000)  4 Mg 3.36, 4 Ce 3.38, 4 Lu 3.38
Mg (0.5000, 0.0000, 0.5000)  4 Mg 3.36, 4 Ce 3.38, 4 Lu 3.38

Calculated values
SG: P4/mmm (123)
Relative energy among the computed polymorphs (kJ/mol of formula units): 24
Total energy (eV/cell): -13.396

---

| no. | total magnetization (μB per cell) |
| --- | --- |
| 1 | 1.98 |
| 2 | 0.00 |
| 3 | 0.00 |
| 4 | 13.74 |
| 5 | 0.00 |
| 6 | 0.00 |
| 7 | 1.39 |